PBE-GGA ScAgCl4, optimized geometry; ΔE to the lowest computed polymorph = 0.003 eV per formula unit; ΔE_f (raw) = -9.18 eV per formula unit; SG = No. 12
1.0
7.0093 -1.8847 0.0000
7.0093 1.8847 0.0000
-3.5809 0.0000 6.3468
Sc Ag Cl
1 1 4
direct
0.0000 0.0000 0.0000
0.5000 0.5000 0.5000
0.0974 0.0974 0.3905
0.3762 0.3762 0.9928
0.6238 0.6238 0.0072
0.9026 0.9026 0.6095

***

PBE-GGA ReSi2W, optimized geometry; ΔE to the lowest computed polymorph = 1.136 eV per formula unit; ΔE_f (raw) = -0.07 eV per formula unit; SG = No. 123
1.0
3.0113 0.0000 0.0000
0.0000 3.0113 0.0000
0.0000 0.0000 6.0882
Re Si W
1 2 1
direct
0.0000 0.0000 0.0000
0.5000 0.5000 0.2356
0.5000 0.5000 0.7644
0.0000 0.0000 0.5000

***

The lowest ΔE_f (raw) belongs to which entry?
ScAgCl4

***

Among the records above, which one has the lowest ΔE_f (raw)?
ScAgCl4

***

Which of these has the lowest ΔE_f (raw)?
ScAgCl4